# Cd3Pb GGA-PBEsol optimized geometry
data_Cd3Pb
_chemical_formula_sum 'Cd3 Pb1'
_symmetry_space_group_name_H-M 'P 1'
_symmetry_Int_Tables_number 1
_cell_length_a 10.190
_cell_length_b 10.190
_cell_length_c 10.190
_cell_angle_alpha 18.62
_cell_angle_beta 18.62
_cell_angle_gamma 18.62
loop_
_symmetry_equiv_pos_as_xyz
'x,y,z'
loop_
_atom_site_label
_atom_site_type_symbol
_atom_site_fract_x
_atom_site_fract_y
_atom_site_fract_z
_atom_site_occupancy
Cd1 Cd 0.000 0.000 0.000 1
Cd2 Cd 0.256 0.256 0.256 1
Cd3 Cd 0.744 0.744 0.744 1
Pb1 Pb 0.500 0.500 0.500 1
# DOS at the Fermi energy = 0.395 states/eV per atom
# DFT formation energy = 0.061 eV/atom
# Space-group type = R-3m (166)